Compound: Sr2CdTcGe
Source: Alexandria
Functional: GGA-PBEsol
Structure: relaxed

Unit cell a=6.0194 b=6.0194 c=4.7314 alpha=90.00 beta=90.00 gamma=90.00
Closest atoms and distances in Å follow each position.
Element x y z (fractional)
Sr (0.0000, 0.5000, 0.0000)  2 Cd 3.01
Sr (0.5000, 0.0000, 0.0000)  2 Cd 3.01
Cd (0.0000, 0.0000, 0.0000)  2 Ge 2.37
Tc (0.5000, 0.5000, 0.5000)  8 Sr 3.83, 4 Ge 4.26
Ge (0.0000, 0.0000, 0.5000)  2 Cd 2.37

Output
Formation energy ... 1.097 eV per atom
Total energy ... -3.120 eV per atom
M_tot ... 3.6 μB/f.u.